1.
Below is YEr4Au5 after structural relaxation, with properties calculated at the GGA-PBE level.

## Properties
SG	P4/mmm (123)

Cell lengths 3.5486, 3.5486, 18.1482 Å; angles 90.00, 90.00, 90.00 degrees
Closest atoms and distances in Å follow each position.
Sites, in units of the cell vectors:
Y1 0.0000 0.0000 0.0000  8 Au 3.13
Er1 0.0000 0.0000 0.2012  8 Au 3.07-3.09
Er2 0.0000 0.0000 0.4004  8 Au 3.09
Er3 0.0000 0.0000 0.5996  8 Au 3.09
Er4 0.0000 0.0000 0.7988  8 Au 3.07-3.09
Au1 0.5000 0.5000 0.1033  4 Er 3.07, 4 Y 3.13
Au2 0.5000 0.5000 0.3008  8 Er 3.09
Au3 0.5000 0.5000 0.5000  8 Er 3.09
Au4 0.5000 0.5000 0.6992  8 Er 3.09
Au5 0.5000 0.5000 0.8967  4 Er 3.07, 4 Y 3.13

***

2.
Below is YErAu2 after structural relaxation, with properties calculated at the GGA-PBE level.

## Properties
SG	Pm (6)
distance to the lowest polymorph of the same formula	0	meV/atom

Cell lengths 3.6944, 4.6931, 5.7883 Å; angles 90.00, 108.46, 90.00 degrees
Closest atoms and distances in Å follow each position.
Sites, in units of the cell vectors:
Y1 0.4439 0.5000 0.4255  7 Au 2.98-3.12
Er1 0.7205 0.0000 0.9814  7 Au 3.01-3.10
Au1 0.1717 0.5000 0.8824  3 Y 2.98-3.12, 4 Er 3.03-3.04, 2 Au 3.05
Au2 0.9949 0.0000 0.5288  3 Er 3.01-3.10, 4 Y 3.04, 2 Au 3.05

***

3.
Below is Y2ErAu after structural relaxation, with properties calculated at the GGA-PBE level.

## Properties
SG	R3m (160)
distance to the lowest polymorph of the same formula	174	meV/atom

Cell lengths 3.7361, 3.7361, 10.0151 Å; angles 79.25, 79.25, 60.00 degrees
Closest atoms and distances in Å follow each position.
Sites, in units of the cell vectors:
Y1 0.0699 0.0699 0.7902  3 Au 2.99
Y2 0.2633 0.2633 0.2101  3 Au 2.97
Er1 0.5007 0.5007 0.4980  6 Y 3.55-3.58, 6 Er 3.74
Au1 0.6661 0.6661 0.0017  6 Y 2.97-2.99

***

Density? In order: 12.66 11.34 7.61 Mg/m³.
Calculated formation energy? In order: -0.879 -0.889 -0.286 eV per atom.
Calculated total energy? In order: -4.990 -5.284 -5.478 eV/atom.